Density functional theory data (PBE with a Hubbard U) for a relaxed BMo3O crystal.

Computed properties:
Total energy (eV/atom): -5.56
Polymorph energy (0 for the lowest one) (meV per atom): 0

Lattice parameters (Å, degrees): 4.0493 4.0493 4.0493 90.00 90.00 90.00
Space group Pm-3m (No. 221)
Symmetry-distinct sites (fractional):
B1 0.0000 0.0000 0.0000 x1
Mo1 0.0000 0.5000 0.5000 x3
O1 0.5000 0.5000 0.5000 x1